# Ce4GeC2 GGA-PBE relaxed
data_Ce4GeC2
_chemical_formula_sum 'Ce8 Ge2 C4'
_cell_length_a 6.400
_cell_length_b 6.400
_cell_length_c 12.742
_cell_angle_alpha 90.00
_cell_angle_beta 90.00
_cell_angle_gamma 144.76
_space_group_name_H-M_alt 'P 1'
_space_group_IT_number 1
loop_
_space_group_symop_operation_xyz
'x,y,z'
loop_
_atom_site_label
_atom_site_fract_x
_atom_site_fract_y
_atom_site_fract_z
Ce1 0.000 0.000 0.000
Ce2 0.000 0.000 0.500
Ce3 0.270 0.730 0.610
Ce4 0.270 0.730 0.890
Ce5 0.419 0.581 0.250
Ce6 0.581 0.419 0.750
Ce7 0.730 0.270 0.110
Ce8 0.730 0.270 0.390
Ge1 0.100 0.900 0.250
Ge2 0.900 0.100 0.750
C1 0.360 0.640 0.059
C2 0.360 0.640 0.441
C3 0.640 0.360 0.559
C4 0.640 0.360 0.941
# calculated formation energy = -0.304 eV per atom
# mass density = 7.2 Mg/m³